1.
This record from Alexandria via LeMat-Bulk describes an optimized crystal structure of CdIn4Hg2Pb2. The functional is PBE.

The value obtained for the calculated formation energy is 0.46 eV/f.u. The total moment comes out at 0.000 Bohr magnetons per cell. For the density of states at the Fermi level, the calculation gives 2.69 states/eV/cell. The density comes out at 8.975 g/cm³. Its space group is C2/m.

```
CdIn4Hg2Pb2
1.0
5.336 -4.256 0.000
5.336 4.256 0.000
-0.463 0.000 5.651
Cd In Hg Pb
1 4 2 2
Cartesian
0.000 0.000 0.000
3.277 1.909 4.427
6.932 1.909 1.224
3.277 -1.909 4.427
6.932 -1.909 1.224
1.220 0.000 3.251
8.988 0.000 2.400
4.178 0.000 1.429
6.030 0.000 4.222
```


2.
This record from Alexandria via LeMat-Bulk describes an optimized crystal structure of CdInHgPb. The functional is PBE.

The value obtained for the calculated formation energy is 0.13 eV/f.u. The total moment comes out at 0.000 Bohr magnetons per cell. For the density of states at the Fermi level, the calculation gives 1.49 states/eV/cell. As for the distance to the lowest polymorph of the same formula: 0 meV per atom. The density comes out at 9.855 g/cm³. Its space group is P4mm.

```
CdInHgPb
1.0
3.479 0.000 0.000
0.000 3.479 0.000
0.000 0.000 8.839
Cd In Hg Pb
1 1 1 1
Cartesian
0.000 0.000 0.000
1.740 1.740 6.726
1.740 1.740 1.945
0.000 0.000 4.288
```


3.
This record from Alexandria via LeMat-Bulk describes an optimized crystal structure of CdIn2HgPd. The functional is PBE.

The value obtained for the calculated formation energy is -0.58 eV/f.u. The total moment comes out at 0.000 Bohr magnetons per cell. For the density of states at the Fermi level, the calculation gives 1.89 states/eV/cell. The density comes out at 7.581 g/cm³. Its space group is P4/mmm.

```
CdIn2HgPd
1.0
5.179 0.000 0.000
0.000 5.179 0.000
0.000 0.000 5.302
Cd In Hg Pd
1 2 1 1
Cartesian
0.000 0.000 0.000
0.000 2.589 2.651
2.589 0.000 2.651
2.589 2.589 0.000
0.000 0.000 2.651
```


4.
This record from Alexandria via LeMat-Bulk describes an optimized crystal structure of Cd2InHgPd. The functional is PBE.

The value obtained for the calculated formation energy is -0.32 eV/f.u. The total moment comes out at 0.000 Bohr magnetons per cell. For the density of states at the Fermi level, the calculation gives 2.23 states/eV/cell. The density comes out at 7.457 g/cm³. Its space group is P4/mmm.

```
Cd2InHgPd
1.0
5.287 0.000 0.000
0.000 5.287 0.000
0.000 0.000 5.153
Cd In Hg Pd
2 1 1 1
Cartesian
0.000 2.643 0.000
2.643 0.000 0.000
0.000 0.000 2.576
2.643 2.643 2.576
0.000 0.000 0.000
```


The highest calculated formation energy belongs to which entry?
CdIn4Hg2Pb2


Copy entry 4 word for word.
This record from Alexandria via LeMat-Bulk describes an optimized crystal structure of Cd2InHgPd. The functional is PBE.

The value obtained for the calculated formation energy is -0.32 eV/f.u. The total moment comes out at 0.000 Bohr magnetons per cell. For the density of states at the Fermi level, the calculation gives 2.23 states/eV/cell. The density comes out at 7.457 g/cm³. Its space group is P4/mmm.

```
Cd2InHgPd
1.0
5.287 0.000 0.000
0.000 5.287 0.000
0.000 0.000 5.153
Cd In Hg Pd
2 1 1 1
Cartesian
0.000 2.643 0.000
2.643 0.000 0.000
0.000 0.000 2.576
2.643 2.643 2.576
0.000 0.000 0.000
```